A relaxed CaCoPb2 crystal. Source: Alexandria via LeMat-Bulk, functional PBE.

Properties
Space-group type   No. 216
Energy relative to the elements   0.278 eV per atom
Fermi-level density of states   1.11 states/eV/atom
E   -3.8526 eV per atom
V   25.27 Å³/atom
Crystal system   cubic

The structure in CIF format:
```
data_CaCoPb2
_space_group_name_H-M_alt 'P 1'
_space_group_IT_number 1
_cell_length_a 5.229
_cell_length_b 5.229
_cell_length_c 5.229
_cell_angle_alpha 60.00
_cell_angle_beta 60.00
_cell_angle_gamma 60.00
loop_
_space_group_symop_operation_xyz
'x,y,z'
loop_
_atom_site_label
_atom_site_type_symbol
_atom_site_fract_x
_atom_site_fract_y
_atom_site_fract_z
Pb1 Pb 0.000 0.000 0.000
Pb2 Pb 0.250 0.250 0.250
Ca1 Ca 0.500 0.500 0.500
Co1 Co 0.750 0.750 0.750
```